No. 1
# KSc4Cr, relaxed, DFT PBE
data_KSc4Cr
_chemical_formula_sum 'K4 Sc16 Cr4'
_cell_length_a 8.7622
_cell_length_b 8.7622
_cell_length_c 8.7622
_cell_angle_alpha 90.00
_cell_angle_beta 90.00
_cell_angle_gamma 90.00
_space_group_name_H-M_alt 'F -4 3 m'
_space_group_IT_number 216
_space_group_name_Hall 'F -4 2 3'
loop_
_atom_site_label
_atom_site_fract_x
_atom_site_fract_y
_atom_site_fract_z
K1 0.0000 0.0000 0.0000
Sc1 0.1216 0.1216 0.6216
Cr1 0.2500 0.2500 0.2500
# Formation energy from the elements, kJ/mol of formula units: 454
# Calculated density, g/cm3: 2.67

No. 2
# KSc2Cr, relaxed, DFT PBE
data_KSc2Cr
_chemical_formula_sum 'K2 Sc4 Cr2'
_cell_length_a 6.5745
_cell_length_b 11.3465
_cell_length_c 3.1711
_cell_angle_alpha 90.00
_cell_angle_beta 115.34
_cell_angle_gamma 90.00
_space_group_name_H-M_alt 'C 1 2/m 1'
_space_group_IT_number 12
_space_group_name_Hall '-C 2y'
loop_
_atom_site_label
_atom_site_fract_x
_atom_site_fract_y
_atom_site_fract_z
K1 0.0000 0.0000 0.0000
Sc1 0.2500 0.2500 0.5000
Cr1 0.0000 0.5000 0.0000
# Formation energy from the elements, kJ/mol of formula units: 337
# Calculated density, g/cm3: 2.81
# Energy relative to the lowest polymorph listed for this composition, meV per atom: 506

No. 3
# K2ScCr, relaxed, DFT PBE
data_K2ScCr
_chemical_formula_sum 'K8 Sc4 Cr4'
_cell_length_a 8.4793
_cell_length_b 8.4793
_cell_length_c 8.4793
_cell_angle_alpha 90.00
_cell_angle_beta 90.00
_cell_angle_gamma 90.00
_space_group_name_H-M_alt 'F m -3 m'
_space_group_IT_number 225
_space_group_name_Hall '-F 4 2 3'
loop_
_atom_site_label
_atom_site_fract_x
_atom_site_fract_y
_atom_site_fract_z
K1 0.2500 0.2500 0.2500
Sc1 0.0000 0.0000 0.0000
Cr1 0.0000 0.0000 0.5000
# Formation energy from the elements, kJ/mol of formula units: 462
# Calculated density, g/cm3: 1.91
# Energy relative to the lowest polymorph listed for this composition, meV per atom: 577

No. 4
# K2ScCr, relaxed, DFT PBE
data_K2ScCr
_chemical_formula_sum 'K6 Sc3 Cr3'
_cell_length_a 3.5033
_cell_length_b 3.5033
_cell_length_c 38.6243
_cell_angle_alpha 90.00
_cell_angle_beta 90.00
_cell_angle_gamma 120.00
_space_group_name_H-M_alt 'R -3 m'
_space_group_IT_number 166
_space_group_name_Hall '-R 3 2"'
loop_
_atom_site_label
_atom_site_fract_x
_atom_site_fract_y
_atom_site_fract_z
K1 0.0000 0.0000 0.2449
Sc1 0.0000 0.0000 0.0000
Cr1 0.0000 0.0000 0.5000
# Formation energy from the elements, kJ/mol of formula units: 378
# Calculated density, g/cm3: 2.13
# Energy relative to the lowest polymorph listed for this composition, meV per atom: 359